# GGA-PBE ScS, relaxed
# DOS at the Fermi energy = 1.98 states/eV/f.u.
# formation energy without anion corrections = -2.8 eV/f.u.
# calculated total energy = -6.606 eV per atom
data_ScS
_cell_length_a 7.070
_cell_length_b 7.070
_cell_length_c 7.070
_cell_angle_alpha 90.00
_cell_angle_beta 90.00
_cell_angle_gamma 90.00
_space_group_name_H-M_alt 'P m -3 n'
_space_group_IT_number 223
_space_group_name_Hall '-P 4n 2 3'
loop_
_atom_site_label
_atom_site_type_symbol
_atom_site_fract_x
_atom_site_fract_y
_atom_site_fract_z
Sc1 Sc 0.000 0.250 0.500
S1 S 0.000 0.500 0.250